No. 1
A plane-wave DFT calculation with PBE was carried out for a geometry-optimized CsSO3 structure.

a b c (Å): 4.0043 4.0043 4.0043
angles (deg): 90.00 90.00 90.00
Fractional coordinates of all 5 atoms:
Cs  0.0000  0.0000  0.0000
S  0.5000  0.5000  0.5000
O  0.0000  0.5000  0.5000
O  0.5000  0.0000  0.5000
O  0.5000  0.5000  0.0000

Values from the calculation:
Uncorrected formation energy (eV/atom): -0.1184

***

No. 2
A plane-wave DFT calculation with PBE was carried out for a geometry-optimized CsSO structure.

a b c (Å): 4.9237 5.0519 7.5421
angles (deg): 104.21 98.98 98.86
Fractional coordinates of all 6 atoms:
Cs  0.2331  0.1335  0.2830
Cs  0.7669  0.8665  0.7170
S  0.3079  0.4661  0.8898
S  0.6921  0.5339  0.1102
O  0.3821  0.2912  0.7022
O  0.6179  0.7088  0.2978

Values from the calculation:
Uncorrected formation energy (eV/atom): -1.0675

***

No. 3
A plane-wave DFT calculation with PBE was carried out for a geometry-optimized Cs2SO6 structure.

a b c (Å): 5.7673 5.7673 12.0428
angles (deg): 90.00 90.00 90.00
Fractional coordinates of all 18 atoms:
Cs  0.0000  0.0000  0.1607
Cs  0.0000  0.0000  0.8393
Cs  0.5000  0.5000  0.3393
Cs  0.5000  0.5000  0.6607
S  0.0000  0.0000  0.5000
S  0.5000  0.5000  0.0000
O  0.1395  0.1395  0.4046
O  0.1395  0.1395  0.5954
O  0.1968  0.8032  0.5000
O  0.3032  0.3032  0.0000
O  0.3605  0.6395  0.0954
O  0.3605  0.6395  0.9046
O  0.6395  0.3605  0.0954
O  0.6395  0.3605  0.9046
O  0.6968  0.6968  0.0000
O  0.8032  0.1968  0.5000
O  0.8605  0.8605  0.4046
O  0.8605  0.8605  0.5954

Values from the calculation:
Uncorrected formation energy (eV/atom): -0.7557

***

No. 4
A plane-wave DFT calculation with PBE was carried out for a geometry-optimized Cs2SO4 structure.

a b c (Å): 8.4385 6.3439 11.1422
angles (deg): 90.00 90.00 90.00
Fractional coordinates of all 28 atoms:
Cs  0.0084  0.2500  0.1980
Cs  0.1723  0.7500  0.4104
Cs  0.3277  0.2500  0.9104
Cs  0.4916  0.7500  0.6980
Cs  0.5084  0.2500  0.3020
Cs  0.6723  0.7500  0.0896
Cs  0.8277  0.2500  0.5896
Cs  0.9916  0.7500  0.8020
S  0.2391  0.7500  0.0827
S  0.2609  0.2500  0.5827
S  0.7391  0.7500  0.4173
S  0.7609  0.2500  0.9173
O  0.0619  0.7500  0.0859
O  0.1999  0.0568  0.6452
O  0.1999  0.4432  0.6452
O  0.2034  0.2500  0.4551
O  0.2966  0.7500  0.9551
O  0.3001  0.5568  0.1452
O  0.3001  0.9432  0.1452
O  0.4381  0.2500  0.5859
O  0.5619  0.7500  0.4141
O  0.6999  0.0568  0.8548
O  0.6999  0.4432  0.8548
O  0.7034  0.2500  0.0449
O  0.7966  0.7500  0.5449
O  0.8001  0.5568  0.3548
O  0.8001  0.9432  0.3548
O  0.9381  0.2500  0.9141

Values from the calculation:
Uncorrected formation energy (eV/atom): -1.8728

***

No. 5
A plane-wave DFT calculation with PBE was carried out for a geometry-optimized CsS2O structure.

a b c (Å): 6.6301 6.6301 6.6301
angles (deg): 52.72 52.72 52.72
Fractional coordinates of all 4 atoms:
Cs  0.0000  0.0000  0.0000
S  0.4045  0.4045  0.4045
S  0.5955  0.5955  0.5955
O  0.5000  0.5000  0.5000

Values from the calculation:
Uncorrected formation energy (eV/atom): -0.1334

***

No. 6
A plane-wave DFT calculation with PBE was carried out for a geometry-optimized Cs3SO6 structure.

a b c (Å): 6.5671 6.5671 6.5671
angles (deg): 60.00 60.00 60.00
Fractional coordinates of all 10 atoms:
Cs  0.0000  0.0000  0.0000
Cs  0.2500  0.2500  0.2500
Cs  0.7500  0.7500  0.7500
S  0.5000  0.5000  0.5000
O  0.3234  0.3234  0.6766
O  0.3234  0.6766  0.3234
O  0.3234  0.6766  0.6766
O  0.6766  0.3234  0.3234
O  0.6766  0.3234  0.6766
O  0.6766  0.6766  0.3234

Values from the calculation:
Uncorrected formation energy (eV/atom): -1.0815

***

No. 7
A plane-wave DFT calculation with PBE was carried out for a geometry-optimized Cs2SO structure.

a b c (Å): 5.7328 5.7328 5.7328
angles (deg): 60.00 60.00 60.00
Fractional coordinates of all 4 atoms:
Cs  0.2500  0.2500  0.2500
Cs  0.7500  0.7500  0.7500
S  0.0000  0.0000  0.0000
O  0.5000  0.5000  0.5000

Values from the calculation:
Uncorrected formation energy (eV/atom): -0.4131

***

No. 8
A plane-wave DFT calculation with PBE was carried out for a geometry-optimized CsS2O7 structure.

a b c (Å): 8.1799 8.1799 3.6557
angles (deg): 90.00 90.00 135.76
Fractional coordinates of all 10 atoms:
Cs  0.0000  0.0000  0.0000
S  0.3924  0.6076  0.5000
S  0.6076  0.3924  0.5000
O  0.1375  0.4227  0.5000
O  0.3924  0.6076  0.0000
O  0.4227  0.1375  0.5000
O  0.5000  0.5000  0.5000
O  0.5773  0.8625  0.5000
O  0.6076  0.3924  0.0000
O  0.8625  0.5773  0.5000

Values from the calculation:
Uncorrected formation energy (eV/atom): -0.6978

***

No. 9
A plane-wave DFT calculation with PBE was carried out for a geometry-optimized CsS3O structure.

a b c (Å): 4.6682 4.6682 4.6682
angles (deg): 90.00 90.00 90.00
Fractional coordinates of all 5 atoms:
Cs  0.0000  0.0000  0.0000
S  0.0000  0.5000  0.5000
S  0.5000  0.0000  0.5000
S  0.5000  0.5000  0.0000
O  0.5000  0.5000  0.5000

Values from the calculation:
Uncorrected formation energy (eV/atom): 0.5943

***

No. 10
A plane-wave DFT calculation with PBE was carried out for a geometry-optimized Cs2SO4 structure.

a b c (Å): 13.9764 6.2785 7.9494
angles (deg): 90.00 90.00 90.00
Fractional coordinates of all 28 atoms:
Cs  0.0296  0.2500  0.1639
Cs  0.1793  0.7500  0.4699
Cs  0.3207  0.2500  0.9699
Cs  0.4704  0.7500  0.6639
Cs  0.5296  0.2500  0.3361
Cs  0.6793  0.7500  0.0301
Cs  0.8207  0.2500  0.5301
Cs  0.9704  0.7500  0.8361
S  0.0939  0.2500  0.7110
S  0.4061  0.7500  0.2110
S  0.5939  0.2500  0.7890
S  0.9061  0.7500  0.2890
O  0.0091  0.7500  0.2322
O  0.0979  0.2500  0.5232
O  0.1420  0.0549  0.7791
O  0.1420  0.4451  0.7791
O  0.3580  0.5549  0.2791
O  0.3580  0.9451  0.2791
O  0.4021  0.7500  0.0232
O  0.4909  0.2500  0.7322
O  0.5091  0.7500  0.2678
O  0.5979  0.2500  0.9768
O  0.6420  0.0549  0.7209
O  0.6420  0.4451  0.7209
O  0.8580  0.5549  0.2209
O  0.8580  0.9451  0.2209
O  0.9021  0.7500  0.4768
O  0.9909  0.2500  0.7678

Values from the calculation:
Uncorrected formation energy (eV/atom): -1.8440

***

No. 11
A plane-wave DFT calculation with PBE was carried out for a geometry-optimized CsSO3 structure.

a b c (Å): 6.4136 6.4136 12.3569
angles (deg): 90.00 90.00 120.00
Fractional coordinates of all 20 atoms:
Cs  0.0000  0.0000  0.0000
Cs  0.0000  0.0000  0.5000
Cs  0.3333  0.6667  0.2412
Cs  0.6667  0.3333  0.7412
S  0.3333  0.6667  0.7118
S  0.3333  0.6667  0.8914
S  0.6667  0.3333  0.2118
S  0.6667  0.3333  0.3914
O  0.0766  0.5383  0.9211
O  0.2047  0.4094  0.6833
O  0.2047  0.7953  0.6833
O  0.4094  0.2047  0.1833
O  0.4617  0.5383  0.9211
O  0.4617  0.9234  0.9211
O  0.5383  0.0766  0.4211
O  0.5383  0.4617  0.4211
O  0.5906  0.7953  0.6833
O  0.7953  0.2047  0.1833
O  0.7953  0.5906  0.1833
O  0.9234  0.4617  0.4211

Values from the calculation:
Uncorrected formation energy (eV/atom): -1.6638

***

No. 12
A plane-wave DFT calculation with PBE was carried out for a geometry-optimized Cs12SO4 structure.

a b c (Å): 10.0609 10.0609 10.0609
angles (deg): 111.17 108.72 108.55
Fractional coordinates of all 17 atoms:
Cs  0.9998  0.2027  0.7971
Cs  0.0002  0.7973  0.2029
Cs  0.2438  0.3123  0.5561
Cs  0.2438  0.6877  0.9315
Cs  0.2447  0.5585  0.3138
Cs  0.2447  0.9308  0.6862
Cs  0.4055  0.2027  0.2029
Cs  0.5945  0.7973  0.7971
Cs  0.7553  0.0692  0.3138
Cs  0.7553  0.4415  0.6862
Cs  0.7562  0.3123  0.0685
Cs  0.7562  0.6877  0.4439
S  0.0000  0.5000  0.5000
O  0.0000  0.0000  0.5000
O  0.0000  0.5000  0.0000
O  0.5000  0.0000  0.0000
O  0.5000  0.5000  0.5000

Values from the calculation:
Uncorrected formation energy (eV/atom): -0.7969